A) BaLaCu | GGA-PBEsol | optimized geometry

Geometry as POSCAR:
```
BaLaCu
1.0
4.0937 0.0000 0.0000
-2.0469 3.5453 0.0000
0.0000 0.0000 7.2854
Ba Cu La
1 1 1
direct
0.0000 0.0000 0.9368
0.3333 0.6667 0.6432
0.6667 0.3333 0.4199
```

Summary:
Crystal system: trigonal

=====

B) BaLaCu | GGA-PBEsol | optimized geometry

Geometry as POSCAR:
```
BaLaCu
1.0
-4.2922 2.2051 -1.8695
-4.6491 -1.7962 1.3929
-3.0326 2.8089 3.1134
Ba Cu La
1 1 1
direct
0.5000 0.5000 0.5000
0.2500 0.2500 0.2500
0.0000 0.0000 0.0000
```

Summary:
Crystal system: cubic

=====

Relative stability in meV per atom, measured from the most stable structure: A) 0; B) 86

=====

A) BaLi2Cu | GGA-PBEsol | optimized geometry

Geometry as POSCAR:
```
BaLi2Cu
1.0
-2.4800 -3.5533 0.2400
3.4745 -2.1946 1.3948
-1.8257 4.1614 4.5173
Ba Cu Li
1 1 2
direct
0.5000 0.5000 0.0000
0.0000 0.0000 0.0000
0.5000 0.0000 0.5000
0.0000 0.5000 0.5000
```

Summary:
Crystal system: orthorhombic

=====

B) BaLi2Cu | GGA-PBEsol | optimized geometry

Geometry as POSCAR:
```
BaLi2Cu
1.0
-2.4761 -3.0673 -0.2696
1.9523 -1.2684 -3.4997
5.1916 -1.9901 3.6174
Ba Cu Li
1 1 2
direct
0.4730 0.0000 0.5675
0.0906 0.5000 0.8051
0.2019 0.0000 0.0319
0.7345 0.5000 0.0956
```

Summary:
Crystal system: monoclinic

=====

Relative stability in meV per atom, measured from the most stable structure: A) 155; B) 0

=====

A) BaCu2Os | GGA-PBEsol | optimized geometry

Geometry as POSCAR:
```
BaCu2Os
1.0
4.2522 0.0000 0.0000
-2.1261 3.6809 -0.0352
0.0000 -2.4109 5.5270
Ba Cu Os
1 2 1
direct
0.7525 0.5051 0.2560
0.9325 0.8651 0.7981
0.2460 0.4921 0.7386
0.5689 0.1378 0.7073
```

Summary:
Crystal system: monoclinic

=====

B) BaCu2Os | GGA-PBEsol | optimized geometry

Geometry as POSCAR:
```
BaCu2Os
1.0
3.1106 0.0000 0.0000
0.0000 3.1146 0.0000
0.0000 0.0000 7.4181
Ba Cu Os
1 2 1
direct
0.5000 0.5000 0.7486
0.0000 0.0000 0.0822
0.5000 0.5000 0.2475
0.0000 0.0000 0.4217
```

Summary:
Crystal system: tetragonal

=====

Relative stability in meV per atom, measured from the most stable structure: A) 0; B) 333

=====

A) BaCu2Re | GGA-PBEsol | optimized geometry

Geometry as POSCAR:
```
BaCu2Re
1.0
-1.5782 -1.3668 -2.0240
-0.7132 -3.0416 2.6101
-4.7401 3.5501 2.8419
Ba Cu Re
1 2 1
direct
0.2373 0.5000 0.7628
0.8617 0.0000 0.0678
0.9189 0.5000 0.2834
0.4821 0.0000 0.3859
```

Summary:
Crystal system: monoclinic

=====

B) BaCu2Re | GGA-PBEsol | optimized geometry

Geometry as POSCAR:
```
BaCu2Re
1.0
-2.1464 0.3023 -1.9873
1.7636 -2.0370 -2.2148
-3.2939 -5.7640 2.6783
Ba Cu Re
1 2 1
direct
0.5000 0.5000 0.5000
0.0000 0.0000 0.8300
0.0000 0.0000 0.1700
0.5000 0.5000 0.0000
```

Summary:
Crystal system: orthorhombic

=====

Relative stability in meV per atom, measured from the most stable structure: A) 111; B) 0

=====

A) Ba2CuRh | GGA-PBEsol | optimized geometry

Geometry as POSCAR:
```
Ba2CuRh
1.0
5.1538 0.0000 0.0000
2.5769 4.4633 0.0000
2.5769 1.4878 4.2081
Ba Cu Rh
2 1 1
direct
0.0000 0.0000 0.0000
0.7500 0.7500 0.7500
0.5000 0.5000 0.5000
0.2500 0.2500 0.2500
```

Summary:
Crystal system: cubic

=====

B) Ba2CuRh | GGA-PBEsol | optimized geometry

Geometry as POSCAR:
```
Ba2CuRh
1.0
-2.5300 3.2992 -1.3158
-4.1833 0.1611 1.2212
-0.1323 5.4199 6.6177
Rh Ba Cu
1 2 1
direct
0.2083 0.2083 0.3752
0.9569 0.9569 0.1292
0.7931 0.7931 0.6208
0.5417 0.5417 0.3748
```

Summary:
Crystal system: trigonal

=====

Relative stability in meV per atom, measured from the most stable structure: A) 392; B) 0

=====

A) Ba2CuRh | GGA-PBEsol | optimized geometry

Geometry as POSCAR:
```
Ba2CuRh
1.0
-1.9875 1.9363 3.5638
1.1289 -3.5954 2.5830
4.2495 4.2721 0.0488
Rh Ba Cu
1 2 1
direct
0.5000 0.6708 0.3415
0.5000 0.9828 0.9656
0.0000 0.2688 0.5375
0.0000 0.5776 0.1553
```

Summary:
Crystal system: orthorhombic

=====

B) Ba2CuRh | GGA-PBEsol | optimized geometry

Geometry as POSCAR:
```
Ba2CuRh
1.0
4.5365 0.0000 0.0000
0.0000 4.5365 0.0000
-2.2682 -2.2682 4.9771
Ba Cu Rh
2 1 1
direct
0.0000 0.0000 0.0000
0.7500 0.2500 0.5000
0.5000 0.5000 0.0000
0.2500 0.7500 0.5000
```

Summary:
Crystal system: tetragonal

=====

Relative stability in meV per atom, measured from the most stable structure: A) 0; B) 323